Here is a relaxed ThAl3Zn3 crystal from the Alexandria database. Energies are from GGA-PBE.

a b c (Å): 6.775 6.775 6.775
angles (deg): 90.00 90.00 90.00
Positions (direct):
Zn  0.500  0.750  0.000
Th  0.500  0.500  0.500
Zn  0.750  0.000  0.500
Al  0.000  0.250  0.500
Zn  0.250  0.000  0.500
Al  0.500  0.000  0.750
Al  0.250  0.500  0.000
Zn  0.500  0.250  0.000
Zn  0.000  0.500  0.750
Al  0.500  0.000  0.250
Zn  0.000  0.500  0.250
Al  0.000  0.750  0.500
Al  0.750  0.500  0.000
Th  0.000  0.000  0.000

**Energy**: -2.87 eV per atom
**Space-group type**: No. 223
**Total magnetization**: 0.0 μB per formula unit
**Fermi-level density of states**: 12.0 states/eV/cell
**V**: 22.21 Å³/atom